Here is an optimized crystal structure of CsK6In6 from the Alexandria database. Energies are from PBE.

The formation enthalpy at 0 K is -22 meV/atom.

The structure belongs to space group Immm (No. 71); the cell edges are 6.751, 12.173 and 12.798 Å and the angles 90.00°, 90.00° and 90.00°. Symmetry generates all atoms from Cs at (0.000, 0.000, 0.000), K at (0.000, 0.000, 0.329), K at (0.000, 0.321, 0.500), K at (0.000, 0.345, 0.000), In at (0.000, 0.500, 0.262) and In at (0.250, 0.250, 0.250).